## w
Here is an optimized crystal structure of KNi2Os from Alexandria. Energies are from PBE.

Geometry as POSCAR:
```
KNi2Os
1.0
6.311 0.000 0.000
0.000 6.311 0.000
0.000 0.000 6.311
K Ni Os
4 8 4
direct
0.000 0.000 0.000 K
0.000 0.500 0.500 K
0.500 0.000 0.500 K
0.500 0.500 0.000 K
0.000 0.000 0.500 Ni
0.000 0.500 0.000 Ni
0.250 0.250 0.750 Ni
0.250 0.750 0.250 Ni
0.500 0.000 0.000 Ni
0.500 0.500 0.500 Ni
0.750 0.250 0.250 Ni
0.750 0.750 0.750 Ni
0.250 0.250 0.250 Os
0.250 0.750 0.750 Os
0.750 0.250 0.750 Os
0.750 0.750 0.250 Os
```

## Properties
* D(E_F): 21.9 states/eV/cell
* magnetic moment: 0.73 μB per atom
* crystal system: cubic

=====

## x
Here is an optimized crystal structure of KNi2Os from Alexandria. Energies are from PBE.

Geometry as POSCAR:
```
KNi2Os
1.0
4.834 0.000 0.000
0.000 4.834 0.000
0.000 0.000 2.599
K Ni Os
1 2 1
direct
0.000 0.000 0.000 K
0.000 0.500 0.500 Ni
0.500 0.000 0.500 Ni
0.500 0.500 0.000 Os
```

## Properties
* D(E_F): 4.1 states/eV/cell
* magnetic moment: 0.33 μB per atom
* crystal system: tetragonal

=====

x ends up most stable, edging out the next structure by 622 meV/atom.

=====

## w
Here is an optimized crystal structure of KNi2Os from Alexandria. Energies are from PBE.

Geometry as POSCAR:
```
KNi2Os
1.0
2.634 0.000 0.000
0.000 4.057 0.000
-1.266 0.000 6.942
K Ni Os
1 2 1
direct
0.000 0.000 0.000 K
0.660 0.500 0.321 Ni
0.752 0.000 0.518 Ni
0.302 0.500 0.620 Os
```

## Properties
* D(E_F): 5.9 states/eV/cell
* magnetic moment: 0.03 μB per atom
* crystal system: monoclinic

=====

## x
Here is an optimized crystal structure of KNi2Os from Alexandria. Energies are from PBE.

Geometry as POSCAR:
```
KNi2Os
1.0
2.739 0.000 0.000
-1.369 2.372 0.000
0.000 0.000 28.830
K Ni Os
3 6 3
direct
0.000 0.000 0.000 K
0.333 0.667 0.667 K
0.667 0.333 0.333 K
0.000 0.000 0.237 Ni
0.000 0.000 0.763 Ni
0.333 0.667 0.430 Ni
0.333 0.667 0.904 Ni
0.667 0.333 0.096 Ni
0.667 0.333 0.570 Ni
0.000 0.000 0.500 Os
0.333 0.667 0.167 Os
0.667 0.333 0.833 Os
```

## Properties
* D(E_F): 17.8 states/eV/cell
* magnetic moment: 0.00 μB per atom
* crystal system: trigonal

=====

## y
Here is an optimized crystal structure of KNi2Os from Alexandria. Energies are from PBE.

Geometry as POSCAR:
```
KNi2Os
1.0
2.598 0.000 0.000
0.000 3.766 0.000
0.000 0.000 7.460
K Ni Os
1 2 1
direct
0.000 0.000 0.000 K
0.000 0.000 0.505 Ni
0.500 0.500 0.327 Ni
0.500 0.500 0.640 Os
```

## Properties
* D(E_F): 3.6 states/eV/cell
* magnetic moment: 0.00 μB per atom
* crystal system: orthorhombic

=====

w ends up most stable, edging out the next structure by 24 meV/atom.

=====

## w
Here is an optimized crystal structure of KNi2Os from Alexandria. Energies are from PBE.

Geometry as POSCAR:
```
KNi2Os
1.0
2.577 0.000 0.000
0.000 4.832 0.000
0.000 0.000 10.258
K Ni Os
2 4 2
direct
0.000 0.000 0.000 K
0.500 0.500 0.500 K
0.000 0.000 0.498 Ni
0.000 0.500 0.781 Ni
0.500 0.000 0.281 Ni
0.500 0.500 0.998 Ni
0.000 0.500 0.209 Os
0.500 0.000 0.709 Os
```

## Properties
* D(E_F): 8.1 states/eV/cell
* magnetic moment: 0.40 μB per atom
* crystal system: orthorhombic

=====

## x
Here is an optimized crystal structure of KNi2Os from Alexandria. Energies are from PBE.

Geometry as POSCAR:
```
KNi2Os
1.0
8.466 0.000 0.000
0.000 2.661 0.000
-0.742 0.000 6.772
K Ni Os
2 4 2
direct
0.000 0.000 0.000 K
0.500 0.500 0.000 K
0.009 0.500 0.492 Ni
0.228 0.000 0.664 Ni
0.509 0.000 0.492 Ni
0.728 0.500 0.664 Ni
0.275 0.500 0.380 Os
0.775 0.000 0.380 Os
```

## Properties
* D(E_F): 8.6 states/eV/cell
* magnetic moment: 0.08 μB per atom
* crystal system: monoclinic

=====

x ends up most stable, edging out the next structure by 163 meV/atom.

=====

## w
Here is an optimized crystal structure of KNi2Os from Alexandria. Energies are from PBE.

Geometry as POSCAR:
```
KNi2Os
1.0
3.791 0.000 0.000
0.000 3.791 0.000
0.000 0.000 8.957
K Ni Os
2 4 2
direct
0.000 0.000 0.000 K
0.500 0.500 0.500 K
0.000 0.000 0.500 Ni
0.000 0.500 0.250 Ni
0.500 0.000 0.750 Ni
0.500 0.500 0.000 Ni
0.000 0.500 0.750 Os
0.500 0.000 0.250 Os
```

## Properties
* D(E_F): 6.8 states/eV/cell
* magnetic moment: 0.73 μB per atom
* crystal system: tetragonal

=====

## x
Here is an optimized crystal structure of KNi2Os from Alexandria. Energies are from PBE.

Geometry as POSCAR:
```
KNi2Os
1.0
2.604 0.000 0.000
0.000 5.624 0.000
0.000 0.000 10.303
K Ni Os
2 4 2
direct
0.000 0.000 0.000 K
0.500 0.500 0.500 K
0.000 0.500 0.201 Ni
0.000 0.500 0.799 Ni
0.500 0.000 0.299 Ni
0.500 0.000 0.701 Ni
0.000 0.000 0.500 Os
0.500 0.500 0.000 Os
```

## Properties
* D(E_F): 13.6 states/eV/cell
* magnetic moment: 0.34 μB per atom
* crystal system: orthorhombic

=====

x ends up most stable, edging out the next structure by 382 meV/atom.

=====

## w
Here is an optimized crystal structure of KNi2Os from Alexandria. Energies are from PBE.

Geometry as POSCAR:
```
KNi2Os
1.0
5.070 0.000 0.000
0.000 5.070 0.000
0.000 0.000 15.236
K Ni Os
4 8 4
direct
0.000 0.250 0.375 K
0.000 0.750 0.625 K
0.500 0.250 0.125 K
0.500 0.750 0.875 K
0.000 0.000 0.000 Ni
0.000 0.500 0.000 Ni
0.250 0.250 0.750 Ni
0.250 0.750 0.250 Ni
0.500 0.000 0.500 Ni
0.500 0.500 0.500 Ni
0.750 0.250 0.750 Ni
0.750 0.750 0.250 Ni
0.000 0.250 0.875 Os
0.000 0.750 0.125 Os
0.500 0.250 0.625 Os
0.500 0.750 0.375 Os
```

## Properties
* D(E_F): 17.2 states/eV/cell
* magnetic moment: 0.00 μB per atom
* crystal system: tetragonal

=====

## x
Here is an optimized crystal structure of KNi2Os from Alexandria. Energies are from PBE.

Geometry as POSCAR:
```
KNi2Os
1.0
2.693 0.000 0.000
0.000 2.693 0.000
0.000 0.000 8.780
K Ni Os
1 2 1
direct
0.000 0.000 0.000 K
0.000 0.000 0.484 Ni
0.500 0.500 0.307 Ni
0.500 0.500 0.676 Os
```

## Properties
* D(E_F): 3.1 states/eV/cell
* magnetic moment: 0.00 μB per atom
* crystal system: tetragonal

=====

x ends up most stable, edging out the next structure by 378 meV/atom.

=====

## w
Here is an optimized crystal structure of KNi2Os from Alexandria. Energies are from PBE.

Geometry as POSCAR:
```
KNi2Os
1.0
2.575 0.000 0.000
0.000 4.701 0.000
0.000 0.000 5.406
K Ni Os
1 2 1
direct
0.000 0.000 0.000 K
0.000 0.500 0.500 Ni
0.500 0.500 0.000 Ni
0.500 0.000 0.500 Os
```

## Properties
* D(E_F): 5.1 states/eV/cell
* magnetic moment: 0.42 μB per atom
* crystal system: orthorhombic

=====

## x
Here is an optimized crystal structure of KNi2Os from Alexandria. Energies are from PBE.

Geometry as POSCAR:
```
KNi2Os
1.0
2.667 0.000 0.000
0.000 3.572 0.000
-0.048 0.000 7.425
K Ni Os
1 2 1
direct
0.000 0.000 0.000 K
0.496 0.500 0.338 Ni
0.504 0.500 0.662 Ni
0.000 0.000 0.500 Os
```

## Properties
* D(E_F): 3.7 states/eV/cell
* magnetic moment: 0.00 μB per atom
* crystal system: monoclinic

=====

x ends up most stable, edging out the next structure by 808 meV/atom.

=====

## w
Here is an optimized crystal structure of KTa2NiOs from Alexandria. Energies are from PBE.

Geometry as POSCAR:
```
KTa2NiOs
1.0
4.648 0.000 0.000
0.000 4.648 0.000
0.000 0.000 4.799
K Ta Ni Os
1 2 1 1
direct
0.000 0.000 0.000 K
0.000 0.500 0.500 Ta
0.500 0.000 0.500 Ta
0.000 0.000 0.500 Ni
0.500 0.500 0.000 Os
```

## Properties
* D(E_F): 5.7 states/eV/cell
* magnetic moment: 0.13 μB per atom
* crystal system: tetragonal

=====

## x
Here is an optimized crystal structure of KTa2NiOs from Alexandria. Energies are from PBE.

Geometry as POSCAR:
```
KTa2NiOs
1.0
4.873 0.000 0.000
0.000 4.873 0.000
0.000 0.000 4.969
K Ta Ni Os
1 2 1 1
direct
0.000 0.000 0.000 K
0.000 0.500 0.500 Ta
0.500 0.000 0.500 Ta
0.500 0.500 0.000 Ni
0.500 0.500 0.500 Os
```

## Properties
* D(E_F): 6.6 states/eV/cell
* magnetic moment: 0.04 μB per atom
* crystal system: tetragonal

=====

x ends up most stable, edging out the next structure by 594 meV/atom.

=====

## w
Here is an optimized crystal structure of K2NiP2 from Alexandria. Energies are from PBE.

Geometry as POSCAR:
```
K2NiP2
1.0
4.110 0.000 0.000
0.000 4.110 0.000
0.000 0.000 13.230
K Ni P
4 2 4
direct
0.000 0.500 0.250 K
0.000 0.500 0.750 K
0.500 0.000 0.250 K
0.500 0.000 0.750 K
0.000 0.000 0.000 Ni
0.500 0.500 0.500 Ni
0.000 0.000 0.423 P
0.000 0.000 0.577 P
0.500 0.500 0.077 P
0.500 0.500 0.923 P
```

## Properties
* D(E_F): 3.8 states/eV/cell
* magnetic moment: 0.03 μB per atom
* crystal system: tetragonal

=====

## x
Here is an optimized crystal structure of K2NiP2 from Alexandria. Energies are from PBE.

Geometry as POSCAR:
```
K2NiP2
1.0
6.037 0.000 0.000
0.000 6.037 0.000
0.000 0.000 5.455
K Ni P
4 2 4
direct
0.175 0.325 0.000 K
0.325 0.825 0.000 K
0.675 0.175 0.000 K
0.825 0.675 0.000 K
0.000 0.000 0.500 Ni
0.500 0.500 0.500 Ni
0.136 0.636 0.500 P
0.364 0.136 0.500 P
0.636 0.864 0.500 P
0.864 0.364 0.500 P
```

## Properties
* D(E_F): 3.3 states/eV/cell
* magnetic moment: 0.00 μB per atom
* crystal system: tetragonal

=====

## y
Here is an optimized crystal structure of K2NiP2 from Alexandria. Energies are from PBE.

Geometry as POSCAR:
```
K2NiP2
1.0
3.218 -6.920 0.000
3.218 6.920 0.000
0.000 0.000 5.625
K Ni P
4 2 4
direct
0.083 0.917 0.750 K
0.287 0.713 0.250 K
0.713 0.287 0.750 K
0.917 0.083 0.250 K
0.500 0.500 0.000 Ni
0.500 0.500 0.500 Ni
0.230 0.430 0.750 P
0.430 0.230 0.250 P
0.570 0.770 0.750 P
0.770 0.570 0.250 P
```

## Properties
* magnetic moment: 0.00 μB per atom
* crystal system: orthorhombic

=====

y ends up most stable, edging out the next structure by 265 meV/atom.

=====

## w
Here is an optimized crystal structure of KNi3P from Alexandria. Energies are from PBE.

Geometry as POSCAR:
```
KNi3P
1.0
4.454 0.000 0.000
0.000 4.454 0.000
0.000 0.000 4.454
K Ni P
1 3 1
direct
0.000 0.000 0.000 K
0.000 0.000 0.500 Ni
0.000 0.500 0.000 Ni
0.500 0.000 0.000 Ni
0.500 0.500 0.500 P
```

## Properties
* D(E_F): 6.8 states/eV/cell
* magnetic moment: 0.00 μB per atom
* crystal system: cubic

=====

## x
Here is an optimized crystal structure of KNi3P from Alexandria. Energies are from PBE.

Geometry as POSCAR:
```
KNi3P
1.0
4.372 0.000 0.000
0.000 4.372 0.000
0.000 0.000 4.372
K Ni P
1 3 1
direct
0.000 0.000 0.000 K
0.000 0.500 0.500 Ni
0.500 0.000 0.500 Ni
0.500 0.500 0.000 Ni
0.500 0.500 0.500 P
```

## Properties
* D(E_F): 10.4 states/eV/cell
* magnetic moment: 0.18 μB per atom
* crystal system: cubic

=====

x ends up most stable, edging out the next structure by 2027 meV/atom.

=====

## w
Here is an optimized crystal structure of KNiPS2 from Alexandria. Energies are from PBE.

Geometry as POSCAR:
```
KNiPS2
1.0
4.900 0.000 0.000
0.000 4.900 0.000
0.000 0.000 4.203
K Ni P S
1 1 1 2
direct
0.000 0.000 0.000 K
0.500 0.500 0.500 Ni
0.500 0.500 0.000 P
0.000 0.500 0.500 S
0.500 0.000 0.500 S
```

## Properties
* D(E_F): 3.5 states/eV/cell
* magnetic moment: 0.00 μB per atom
* crystal system: tetragonal

=====

## x
Here is an optimized crystal structure of KNiPS2 from Alexandria. Energies are from PBE.

Geometry as POSCAR:
```
KNiPS2
1.0
5.603 0.000 0.000
0.000 5.603 0.000
0.000 0.000 5.824
K Ni P S
1 1 1 2
direct
0.000 0.000 0.000 K
0.500 0.500 0.500 Ni
0.000 0.000 0.500 P
0.000 0.500 0.000 S
0.500 0.000 0.000 S
```

## Properties
* D(E_F): 11.9 states/eV/cell
* magnetic moment: 1.21 μB per atom
* crystal system: tetragonal

=====

w ends up most stable, edging out the next structure by 1920 meV/atom.

=====

## w
Here is an optimized crystal structure of KNi2Pb2 from Alexandria. Energies are from PBE.

Geometry as POSCAR:
```
KNi2Pb2
1.0
4.838 0.000 0.000
0.000 4.838 0.000
0.000 0.000 10.129
K Ni Pb
2 4 4
direct
0.000 0.000 0.000 K
0.500 0.500 0.500 K
0.000 0.000 0.382 Ni
0.000 0.000 0.618 Ni
0.500 0.500 0.118 Ni
0.500 0.500 0.882 Ni
0.000 0.500 0.250 Pb
0.000 0.500 0.750 Pb
0.500 0.000 0.250 Pb
0.500 0.000 0.750 Pb
```

## Properties
* D(E_F): 6.7 states/eV/cell
* magnetic moment: 0.00 μB per atom
* crystal system: tetragonal

=====

## x
Here is an optimized crystal structure of KNi2Pb2 from Alexandria. Energies are from PBE.

Geometry as POSCAR:
```
KNi2Pb2
1.0
4.717 0.000 0.000
0.000 4.717 0.000
0.000 0.000 11.380
K Ni Pb
2 4 4
direct
0.000 0.000 0.000 K
0.500 0.500 0.500 K
0.000 0.500 0.250 Ni
0.000 0.500 0.750 Ni
0.500 0.000 0.250 Ni
0.500 0.000 0.750 Ni
0.000 0.000 0.348 Pb
0.000 0.000 0.652 Pb
0.500 0.500 0.152 Pb
0.500 0.500 0.848 Pb
```

## Properties
* D(E_F): 5.3 states/eV/cell
* magnetic moment: 0.00 μB per atom
* crystal system: tetragonal

=====

x ends up most stable, edging out the next structure by 93 meV/atom.

=====

## w
Here is an optimized crystal structure of KNi2Pb2 from Alexandria. Energies are from PBE.

Geometry as POSCAR:
```
KNi2Pb2
1.0
8.454 0.000 0.000
0.000 8.454 0.000
0.000 0.000 3.130
K Ni Pb
2 4 4
direct
0.000 0.000 0.000 K
0.500 0.500 0.000 K
0.137 0.363 0.500 Ni
0.363 0.863 0.500 Ni
0.637 0.137 0.500 Ni
0.863 0.637 0.500 Ni
0.143 0.643 0.000 Pb
0.357 0.143 0.000 Pb
0.643 0.857 0.000 Pb
0.857 0.357 0.000 Pb
```

## Properties
* D(E_F): 7.9 states/eV/cell
* magnetic moment: 0.00 μB per atom
* crystal system: tetragonal

=====

## x
Here is an optimized crystal structure of KNi2Pb2 from Alexandria. Energies are from PBE.

Geometry as POSCAR:
```
KNi2Pb2
1.0
8.225 0.000 0.000
0.000 8.225 0.000
0.000 0.000 3.263
K Ni Pb
2 4 4
direct
0.000 0.000 0.000 K
0.500 0.500 0.000 K
0.119 0.381 0.000 Ni
0.381 0.881 0.000 Ni
0.619 0.119 0.000 Ni
0.881 0.619 0.000 Ni
0.154 0.654 0.500 Pb
0.346 0.154 0.500 Pb
0.654 0.846 0.500 Pb
0.846 0.346 0.500 Pb
```

## Properties
* D(E_F): 6.6 states/eV/cell
* magnetic moment: 0.00 μB per atom
* crystal system: tetragonal

=====

x ends up most stable, edging out the next structure by 63 meV/atom.